(1)
An optimized crystal structure of Hf2CdPt. Source: the Alexandria database, functional PBE-GGA.

Unit cell a=3.5122 b=3.5122 c=24.8349 alpha=90.00 beta=90.00 gamma=120.00
Last column: nearest neighbours and their distance in Å.
Space group R-3m (No. 166, hexagonal axes)
Inequivalent atoms, fractional coordinates:
Hf1 0.0000 0.0000 0.2378 (multiplicity 6)  3 Pt 2.69
Cd1 0.0000 0.0000 0.0000 (multiplicity 3)  6 Hf 3.12
Pt1 0.0000 0.0000 0.5000 (multiplicity 3)  6 Hf 2.69

ΔE_f	-1.21	eV per formula unit
DOS(E_F)	0.6496	states/eV per atom

(2)
An optimized crystal structure of Hf2CdRePt. Source: the Alexandria database, functional PBE-GGA.

Unit cell a=5.0156 b=5.0156 c=4.8242 alpha=90.00 beta=90.00 gamma=90.00
Last column: nearest neighbours and their distance in Å.
Space group P4/mmm (No. 123)
Inequivalent atoms, fractional coordinates:
Hf1 0.0000 0.5000 0.0000 (multiplicity 2)  2 Pt 2.51
Cd1 0.0000 0.0000 0.5000 (multiplicity 1)  8 Hf 3.48, 4 Re 3.55
Re1 0.5000 0.5000 0.5000 (multiplicity 1)  2 Pt 2.41
Pt1 0.5000 0.5000 0.0000 (multiplicity 1)  2 Re 2.41, 4 Hf 2.51

ΔE_f	3.86	eV per formula unit
DOS(E_F)	0.9723	states/eV per atom

(3)
An optimized crystal structure of HfCd2RePt. Source: the Alexandria database, functional PBE-GGA.

Unit cell a=5.3008 b=5.3008 c=4.7067 alpha=90.00 beta=90.00 gamma=90.00
Last column: nearest neighbours and their distance in Å.
Space group P4/mmm (No. 123)
Inequivalent atoms, fractional coordinates:
Hf1 0.0000 0.0000 0.0000 (multiplicity 1)  2 Re 2.35
Cd1 0.0000 0.5000 0.0000 (multiplicity 2)  2 Hf 2.65
Re1 0.0000 0.0000 0.5000 (multiplicity 1)  2 Hf 2.35
Pt1 0.5000 0.5000 0.5000 (multiplicity 1)  8 Cd 3.54, 4 Re 3.75

ΔE_f	8.97	eV per formula unit
DOS(E_F)	0.8473	states/eV per atom

(4)
An optimized crystal structure of HfCd2PtRh. Source: the Alexandria database, functional PBE-GGA.

Unit cell a=5.0308 b=5.0308 c=4.9515 alpha=90.00 beta=90.00 gamma=90.00
Last column: nearest neighbours and their distance in Å.
Space group P4/mmm (No. 123)
Inequivalent atoms, fractional coordinates:
Hf1 0.0000 0.0000 0.0000 (multiplicity 1)  2 Pt 2.48
Cd1 0.0000 0.5000 0.5000 (multiplicity 2)  2 Pt 2.52
Pt1 0.0000 0.0000 0.5000 (multiplicity 1)  2 Hf 2.48, 4 Cd 2.52
Rh1 0.5000 0.5000 0.0000 (multiplicity 1)  8 Cd 3.53, 4 Hf 3.56

ΔE_f	2.68	eV per formula unit
DOS(E_F)	1.5192	states/eV per atom

(5)
An optimized crystal structure of HfCdRuPt. Source: the Alexandria database, functional PBE-GGA.

Unit cell a=6.5015 b=6.5015 c=6.5015 alpha=90.00 beta=90.00 gamma=90.00
Last column: nearest neighbours and their distance in Å.
Space group F-43m (No. 216)
Inequivalent atoms, fractional coordinates:
Hf1 0.0000 0.0000 0.0000 (multiplicity 4)  4 Ru 2.82, 4 Pt 2.82
Cd1 0.0000 0.0000 0.5000 (multiplicity 4)  4 Ru 2.82, 4 Pt 2.82
Ru1 0.2500 0.2500 0.2500 (multiplicity 4)  4 Cd 2.82, 4 Hf 2.82
Pt1 0.2500 0.2500 0.7500 (multiplicity 4)  4 Cd 2.82, 4 Hf 2.82

ΔE_f	-2.10	eV per formula unit
DOS(E_F)	0.0862	states/eV per atom

(6)
An optimized crystal structure of HfTlCdPt2. Source: the Alexandria database, functional PBE-GGA.

Unit cell a=5.0170 b=5.0170 c=5.6545 alpha=90.00 beta=90.00 gamma=90.00
Last column: nearest neighbours and their distance in Å.
Space group P4/mmm (No. 123)
Inequivalent atoms, fractional coordinates:
Hf1 0.0000 0.0000 0.0000 (multiplicity 1)  4 Pt 2.51
Tl1 0.5000 0.5000 0.5000 (multiplicity 1)  4 Cd 3.55, 8 Pt 3.78
Cd1 0.0000 0.0000 0.5000 (multiplicity 1)  2 Hf 2.83
Pt1 0.0000 0.5000 0.0000 (multiplicity 2)  2 Hf 2.51

ΔE_f	2.19	eV per formula unit
DOS(E_F)	0.7053	states/eV per atom

(7)
An optimized crystal structure of TmHfCdPt. Source: the Alexandria database, functional PBE-GGA.

Unit cell a=6.9497 b=6.9497 c=6.9497 alpha=90.00 beta=90.00 gamma=90.00
Last column: nearest neighbours and their distance in Å.
Space group F-43m (No. 216)
Inequivalent atoms, fractional coordinates:
Tm1 0.0000 0.0000 0.0000 (multiplicity 4)  4 Cd 3.01, 4 Pt 3.01
Hf1 0.0000 0.0000 0.5000 (multiplicity 4)  4 Pt 3.01, 4 Cd 3.01
Cd1 0.2500 0.2500 0.2500 (multiplicity 4)  4 Hf 3.01, 4 Tm 3.01
Pt1 0.2500 0.2500 0.7500 (multiplicity 4)  4 Tm 3.01, 4 Hf 3.01

ΔE_f	-2.10	eV per formula unit
DOS(E_F)	1.0047	states/eV per atom

(8)
An optimized crystal structure of HfCd2PtW. Source: the Alexandria database, functional PBE-GGA.

Unit cell a=5.0448 b=5.0448 c=5.0117 alpha=90.00 beta=90.00 gamma=90.00
Last column: nearest neighbours and their distance in Å.
Space group P4/mmm (No. 123)
Inequivalent atoms, fractional coordinates:
Hf1 0.0000 0.0000 0.0000 (multiplicity 1)  2 Pt 2.51
Cd1 0.0000 0.5000 0.5000 (multiplicity 2)  2 Pt 2.52
Pt1 0.0000 0.0000 0.5000 (multiplicity 1)  2 Hf 2.51, 4 Cd 2.52
W1 0.5000 0.5000 0.0000 (multiplicity 1)  8 Cd 3.56, 4 Hf 3.57

ΔE_f	5.52	eV per formula unit
DOS(E_F)	0.7102	states/eV per atom